# Al2Re2Ge

A relaxed structure of Al2Re2Ge (PBE, the Alexandria database).

The value obtained for the energy of formation is 0.21 eV per formula unit.

The structure belongs to space group P4/mbm (No. 127); the cell edges are 6.669, 6.669 and 3.521 Å and the angles 90.00°, 90.00° and 90.00°. Symmetry generates all atoms from Al at (0.143, 0.357, 0.000), Re at (0.156, 0.656, 0.500) and Ge at (0.000, 0.000, 0.500).

# LaAlZn2Au4

A relaxed structure of LaAlZn2Au4 (PBE, the Alexandria database).

The value obtained for the energy of formation is -3.84 eV per formula unit.

The structure belongs to space group R-3m (No. 166, hexagonal axes); the cell edges are 4.4943, 4.4943 and 26.9362 Å and the angles 90.00°, 90.00° and 120.00°. Symmetry generates all atoms from La at (0.0000, 0.0000, 0.0000), Al at (0.0000, 0.0000, 0.5000), Zn at (0.0000, 0.0000, 0.2443), Au at (0.0000, 0.0000, 0.1348) and Au at (0.0000, 0.0000, 0.4002).

# NaHg2Rh2

A relaxed structure of NaHg2Rh2 (PBE, the Alexandria database).

The value obtained for the energy of formation is 0.37 eV per formula unit. The offset from the most stable computed form is 0.000 eV per atom.

The structure belongs to space group P4/mbm (No. 127); the cell edges are 7.911, 7.911 and 3.089 Å and the angles 90.00°, 90.00° and 90.00°. Symmetry generates all atoms from Na at (0.000, 0.000, 0.000), Hg at (0.178, 0.322, 0.500) and Rh at (0.118, 0.618, 0.000).

# TcAgMo2

A relaxed structure of TcAgMo2 (PBE, the Alexandria database).

The value obtained for the energy of formation is 1.77 eV per formula unit. The offset from the most stable computed form is 0.167 eV per atom.

The structure belongs to space group P4/mmm (No. 123); the cell edges are 3.353, 3.353 and 5.841 Å and the angles 90.00°, 90.00° and 90.00°. Symmetry generates all atoms from Tc at (0.000, 0.000, 0.000), Ag at (0.000, 0.000, 0.500) and Mo at (0.500, 0.500, 0.213).

# Er3AlGe3

A relaxed structure of Er3AlGe3 (PBE, the Alexandria database).

The value obtained for the energy of formation is -3.93 eV per formula unit. The offset from the most stable computed form is 0.199 eV per atom.

The structure belongs to space group P6_3/m (No. 176); the cell edges are 8.4605, 8.4605 and 5.8124 Å and the angles 90.00°, 90.00° and 120.00°. Symmetry generates all atoms from Er at (0.0584, 0.3666, 0.2500), Al at (0.3333, 0.6667, 0.7500) and Ge at (0.0548, 0.3585, 0.7500).

# Sr2TeRh

A relaxed structure of Sr2TeRh (PBE, the Alexandria database).

The calculation puts the uncorrected formation energy at -0.632 eV per atom.

The structure belongs to space group Cmmm (No. 65); the cell edges are 7.032, 8.066 and 3.990 Å and the angles 90.00°, 90.00° and 90.00°. Symmetry generates all atoms from Sr at (0.250, 0.250, 0.000), Te at (0.000, 0.000, 0.500) and Rh at (0.000, 0.500, 0.500).

# Th4SnHg

A relaxed structure of Th4SnHg (PBE, the Alexandria database).

The value obtained for the energy of formation is -0.42 eV per formula unit. The offset from the most stable computed form is 0.207 eV per atom.

The structure belongs to space group P-1 (No. 2); the cell edges are 5.987, 7.263 and 9.413 Å and the angles 112.62°, 90.81° and 90.00°. Symmetry generates all atoms from Th at (0.005, 0.210, 0.145), Th at (0.006, 0.795, 0.309), Th at (0.494, 0.487, 0.692), Th at (0.495, 0.066, 0.855), Sn at (0.250, 0.502, 0.000), Hg at (0.000, 0.500, 0.500) and Hg at (0.500, 0.000, 0.500).

# GdHoZnPd

A relaxed structure of GdHoZnPd (PBE, the Alexandria database).

The value obtained for the energy of formation is -2.37 eV per formula unit.

The structure belongs to space group F-43m (No. 216); the cell edges are 7.098, 7.098 and 7.098 Å and the angles 90.00°, 90.00° and 90.00°. Symmetry generates all atoms from Gd at (0.000, 0.000, 0.000), Ho at (0.000, 0.000, 0.500), Zn at (0.250, 0.250, 0.750) and Pd at (0.250, 0.250, 0.250).

Number 1: VASP energy -73.6 eV/cell, M_tot 0.00 Bohr magnetons per cell, N(E_F) 1.51 states/eV per cell. Number 2: VASP energy -84.5 eV/cell, M_tot 0.00 Bohr magnetons per cell, N(E_F) 11.09 states/eV per cell. Number 3: VASP energy -32.5 eV/cell, M_tot 0.00 Bohr magnetons per cell, N(E_F) 7.39 states/eV per cell. Number 4: VASP energy -33.1 eV/cell, M_tot 0.00 Bohr magnetons per cell, N(E_F) 3.19 states/eV per cell. Number 5: VASP energy -70.4 eV/cell, M_tot 0.00 Bohr magnetons per cell, N(E_F) 2.97 states/eV per cell. Number 6: VASP energy -32.8 eV/cell, M_tot 0.00 Bohr magnetons per cell, N(E_F) 3.29 states/eV per cell. Number 7: VASP energy -68.8 eV/cell, M_tot 0.00 Bohr magnetons per cell, N(E_F) 15.69 states/eV per cell. Number 8: VASP energy -110.0 eV/cell, M_tot 28.40 Bohr magnetons per cell, N(E_F) 9.72 states/eV per cell.